No. 1
DFT (PBE) results for Na2ThHg3 after structural relaxation.

Output
energy relative to the elements	-0.205	eV/atom
SG	P4/mmm (123)

```
6
Lattice="3.647 0.000 0.000 0.000 3.647 0.000 0.000 0.000 11.998" Properties=species:S:1:pos:R:3 pbc="T T T"
Na 1.823 1.823 1.996
Hg 0.000 0.000 3.934
Na 1.823 1.823 10.001
Hg 0.000 0.000 8.064
Hg 0.000 0.000 0.000
Th 1.823 1.823 5.999
```

No. 2
DFT (PBE) results for ErMnNiPd after structural relaxation.

Output
energy relative to the elements	-0.333	eV/atom
SG	F-43m (216)

```
4
Lattice="-0.820 -0.859 4.427 -0.898 -4.279 1.376 3.081 -2.298 2.498" Properties=species:S:1:pos:R:3 pbc="T T T"
Er 0.000 0.000 0.000
Mn 0.682 -3.718 4.151
Pd 1.022 -5.577 6.226
Ni 0.341 -1.859 2.075
```

No. 3
DFT (PBE) results for Y3InCu2 after structural relaxation.

Output
energy relative to the elements	-0.327	eV/atom
SG	P4/mmm (123)

```
6
Lattice="-2.644 0.477 -2.243 -0.547 -3.456 -0.090 -7.180 0.911 8.656" Properties=species:S:1:pos:R:3 pbc="T T T"
In -5.186 -1.034 3.161
Y 0.000 0.000 0.000
Cu -7.655 -0.721 6.138
Y -4.963 0.630 5.983
Cu -2.717 -1.347 0.185
Y -2.218 0.281 2.673
```

No. 4
DFT (PBE) results for TiCrAgS4 after structural relaxation.

Output
uncorrected formation energy	-798	meV per atom
SG	P2_1/m (11)

```
14
Lattice="3.466 0.000 0.000 0.000 5.943 -0.021 0.000 0.344 12.891" Properties=species:S:1:pos:R:3 pbc="T T T"
S 2.600 2.639 5.021
S 0.867 3.466 1.392
Cr 2.600 4.355 0.079
Cr 0.867 1.932 12.791
Ag 0.867 1.466 3.109
Ag 2.600 4.821 9.761
S 2.600 2.821 11.478
S 0.867 5.768 11.636
S 2.600 0.688 7.891
Ti 2.600 4.648 6.396
S 0.867 5.599 4.979
S 0.867 3.648 7.849
Ti 0.867 1.639 6.474
S 2.600 0.519 1.234
```

No. 5
DFT (PBE) results for KLi2Mn after structural relaxation.

Output
energy relative to the elements	0.577	eV/atom
SG	Imm2 (44)

```
4
Lattice="-1.068 -4.407 4.736 4.236 -4.914 0.949 -1.454 6.393 -0.074" Properties=species:S:1:pos:R:3 pbc="T T T"
K 2.184 -1.595 1.861
Li 3.089 -9.090 5.545
Li -0.500 -1.245 3.696
Mn 1.692 -4.979 3.037
```

No. 6
DFT (PBE) results for PaCo2H after structural relaxation.

Output
SG	R-3m (166)
electronic total energy	-6.47	eV per atom

```
4
Lattice="-0.487 -1.084 2.790 2.327 -0.375 1.909 -0.197 5.395 3.711" Properties=species:S:1:pos:R:3 pbc="T T T"
H 0.822 1.968 4.205
Co 1.554 0.620 5.457
Co 0.090 3.316 2.953
Pa 0.000 0.000 0.000
```

No. 7
DFT (PBE) results for FeNi5H6 after structural relaxation.

Output
SG	C2/m (12)
electronic total energy	-4.82	eV per atom

```
12
Lattice="-2.140 3.621 -1.806 -0.845 3.039 3.308 3.074 3.243 0.965" Properties=species:S:1:pos:R:3 pbc="T T T"
Fe 0.000 0.000 0.000
H -2.211 4.936 1.119
H -0.774 1.724 0.383
H -0.612 4.049 -0.709
Ni 0.861 4.490 0.287
Ni 0.752 2.098 1.423
H 0.003 3.782 1.743
Ni -1.493 3.330 0.751
Ni 1.477 4.184 2.850
Ni -0.773 5.413 2.180
H 0.085 6.121 0.724
H 0.700 5.853 3.176
```

No. 8
DFT (PBE) results for TbSm3In3 after structural relaxation.

Output
energy relative to the elements	-0.326	eV/atom
SG	P6_3/m (176)

```
14
Lattice="-4.179 2.319 -2.067 -2.380 -8.145 -4.327 -3.278 1.883 8.743" Properties=species:S:1:pos:R:3 pbc="T T T"
Tb -3.724 -4.222 -0.487
Sm -4.196 -7.111 -2.776
In -3.459 -1.703 1.803
Sm -5.364 -4.206 2.847
In -5.386 -2.098 5.256
In -4.452 -1.844 -2.908
Sm -5.642 3.169 5.124
In -6.611 -5.104 -2.200
Sm -4.474 0.264 -0.498
Sm -8.225 -2.593 3.882
In -6.379 -2.239 0.545
Tb -6.113 0.280 2.836
In -3.227 1.162 4.548
Sm -1.613 -1.349 -1.533
```

No. 9
DFT (PBE) results for Ac2CeGe3Pt4 after structural relaxation.

Output
energy relative to the elements	-0.944	eV/atom
SG	P-4m2 (115)

```
10
Lattice="-0.612 4.379 0.653 -3.281 -0.006 -3.035 -7.435 -2.239 8.042" Properties=species:S:1:pos:R:3 pbc="T T T"
Pt 0.000 0.000 0.000
Ac -1.996 1.681 2.154
Ac -7.386 -1.733 4.697
Ge -6.882 0.209 7.438
Ge -2.500 -0.262 -0.588
Pt -4.181 -0.768 1.231
Pt -1.947 2.186 -1.191
Ce -5.664 1.067 2.830
Ge -3.718 -1.119 4.021
Pt -5.200 0.716 5.620
```

No. 10
DFT (PBE) results for Tb4Pm4Ho3 after structural relaxation.

Output
energy relative to the elements	0.123	eV/atom
SG	Immm (71)

```
11
Lattice="-0.085 0.673 -3.545 9.408 -0.310 -0.284 -5.073 -10.833 -0.099" Properties=species:S:1:pos:R:3 pbc="T T T"
Ho 4.339 -8.183 -3.496
Pm 2.870 -2.832 -2.444
Tb 7.639 0.084 -2.005
Ho 4.704 -0.155 -0.142
Tb 1.684 0.280 -1.825
Pm 1.380 -7.637 -1.484
Pm 6.216 -2.942 -2.545
Pm -1.965 -7.527 -1.383
Tb -0.240 -4.770 -2.738
Ho -0.088 -2.287 -0.432
Tb 4.490 -5.700 -1.191
```